1.
Computed, not measured: an optimized crystal structure of Ba2GaClF5 at the GGA-PBE level of DFT.

a = 6.716 Å, b = 6.716 Å, c = 6.716 Å
α = 126.35°, β = 126.35°, γ = 79.31°
Fractional coordinates of all 9 atoms:
Ba 0.000 0.500 0.500
Ba 0.500 0.000 0.500
Ga 0.283 0.283 0.000
Cl 0.610 0.610 0.000
F 0.072 0.072 0.000
F 0.127 0.127 0.550
F 0.127 0.577 0.000
F 0.577 0.127 0.000
F 0.577 0.577 0.450

Calculated values
- Space-group type: I4mm


2.
Computed, not measured: an optimized crystal structure of Na8SnTe6 at the GGA-PBE level of DFT.

a = 8.884 Å, b = 9.265 Å, c = 12.831 Å
α = 90.00°, β = 90.00°, γ = 90.00°
Fractional coordinates of all 30 atoms:
Na 0.000 0.120 0.000
Na 0.000 0.246 0.442
Na 0.180 0.629 0.112
Na 0.197 0.572 0.807
Na 0.233 0.928 0.761
Na 0.267 0.072 0.261
Na 0.303 0.428 0.307
Na 0.320 0.371 0.612
Na 0.500 0.754 0.942
Na 0.500 0.880 0.500
Na 0.680 0.371 0.612
Na 0.697 0.428 0.307
Na 0.733 0.072 0.261
Na 0.767 0.928 0.761
Na 0.803 0.572 0.807
Na 0.820 0.629 0.112
Sn 0.000 0.751 0.462
Sn 0.500 0.249 0.962
Te 0.000 0.302 0.210
Te 0.000 0.507 0.593
Te 0.000 0.780 0.937
Te 0.000 0.993 0.588
Te 0.243 0.246 0.838
Te 0.257 0.754 0.338
Te 0.500 0.007 0.088
Te 0.500 0.220 0.437
Te 0.500 0.493 0.093
Te 0.500 0.698 0.710
Te 0.743 0.754 0.338
Te 0.757 0.246 0.838

Calculated values
- Space-group type: Pmn2_1


3.
Computed, not measured: an optimized crystal structure of Y5Cr at the GGA-PBE level of DFT.

a = 6.449 Å, b = 6.449 Å, c = 6.449 Å
α = 60.00°, β = 60.00°, γ = 60.00°
Fractional coordinates of all 6 atoms:
Y 0.000 0.000 0.000
Y 0.375 0.375 0.375
Y 0.375 0.375 0.876
Y 0.375 0.876 0.375
Y 0.876 0.375 0.375
Cr 0.750 0.750 0.750

Calculated values
- Energy of formation from the pure elements: 3.368 eV per formula unit
- Space-group type: F-43m
- Relative energy among the computed polymorphs: 0.412 eV per atom


4.
Computed, not measured: an optimized crystal structure of RbCu2Pd4 at the GGA-PBE level of DFT.

a = 5.077 Å, b = 5.077 Å, c = 13.003 Å
α = 90.00°, β = 90.00°, γ = 90.00°
Fractional coordinates of all 14 atoms:
Rb 0.000 0.000 0.000
Rb 0.500 0.500 0.500
Cu 0.000 0.000 0.411
Cu 0.000 0.000 0.589
Cu 0.500 0.500 0.089
Cu 0.500 0.500 0.911
Pd 0.000 0.000 0.226
Pd 0.000 0.000 0.774
Pd 0.000 0.500 0.000
Pd 0.000 0.500 0.500
Pd 0.500 0.000 0.000
Pd 0.500 0.000 0.500
Pd 0.500 0.500 0.274
Pd 0.500 0.500 0.726

Calculated values
- Energy of formation from the pure elements: 8.185 eV per formula unit
- Space-group type: I4/mmm


5.
Computed, not measured: an optimized crystal structure of Pm10PrY4 at the GGA-PBE level of DFT.

a = 8.920 Å, b = 8.920 Å, c = 8.920 Å
α = 112.01°, β = 112.01°, γ = 104.50°
Fractional coordinates of all 15 atoms:
Pm 0.055 0.712 0.109
Pm 0.055 0.945 0.658
Pm 0.250 0.750 0.500
Pm 0.288 0.397 0.342
Pm 0.397 0.055 0.109
Pm 0.603 0.945 0.891
Pm 0.712 0.603 0.658
Pm 0.750 0.250 0.500
Pm 0.945 0.055 0.342
Pm 0.945 0.288 0.891
Pr 0.000 0.000 0.000
Y 0.218 0.559 0.777
Y 0.441 0.218 0.660
Y 0.559 0.782 0.340
Y 0.782 0.441 0.223

Calculated values
- Energy of formation from the pure elements: 6.337 eV per formula unit
- Space-group type: I4/m


6.
Computed, not measured: an optimized crystal structure of LiScZn at the GGA-PBE level of DFT.

a = 3.226 Å, b = 3.226 Å, c = 10.684 Å
α = 90.00°, β = 90.00°, γ = 90.00°
Fractional coordinates of all 6 atoms:
Li 0.250 0.250 0.083
Li 0.750 0.750 0.917
Sc 0.250 0.250 0.388
Sc 0.750 0.750 0.612
Zn 0.250 0.250 0.780
Zn 0.750 0.750 0.220

Calculated values
- Energy of formation from the pure elements: -0.480 eV per formula unit
- Space-group type: P4/nmm
- Relative energy among the computed polymorphs: 0.000 eV per atom


7.
Computed, not measured: an optimized crystal structure of In4Ag2Hg5 at the GGA-PBE level of DFT.

a = 8.013 Å, b = 3.438 Å, c = 9.881 Å
α = 90.00°, β = 91.36°, γ = 90.00°
Fractional coordinates of all 11 atoms:
In 0.207 0.000 0.366
In 0.230 0.000 0.908
In 0.770 0.000 0.092
In 0.793 0.000 0.634
Ag 0.093 0.500 0.129
Ag 0.907 0.500 0.871
Hg 0.146 0.500 0.636
Hg 0.464 0.500 0.171
Hg 0.500 0.500 0.500
Hg 0.536 0.500 0.829
Hg 0.854 0.500 0.364

Calculated values
- Energy of formation from the pure elements: 0.298 eV per formula unit
- Space-group type: P2/m


8.
Computed, not measured: an optimized crystal structure of LiCoH2Os at the GGA-PBE level of DFT.

a = 3.213 Å, b = 3.213 Å, c = 4.061 Å
α = 90.00°, β = 90.00°, γ = 90.00°
Fractional coordinates of all 5 atoms:
Li 0.000 0.000 0.000
Co 0.000 0.000 0.500
H 0.000 0.500 0.500
H 0.500 0.000 0.500
Os 0.500 0.500 0.000

Calculated values
- Space-group type: P4/mmm


9.
Computed, not measured: an optimized crystal structure of Na3HoNp3S8 at the GGA-PBE level of DFT.

a = 8.113 Å, b = 8.113 Å, c = 8.113 Å
α = 59.09°, β = 59.09°, γ = 59.09°
Fractional coordinates of all 15 atoms:
Na 0.000 0.500 0.500
Na 0.500 0.000 0.500
Na 0.500 0.500 0.000
Ho 0.500 0.500 0.500
Np 0.000 0.000 0.500
Np 0.000 0.500 0.000
Np 0.500 0.000 0.000
S 0.241 0.241 0.241
S 0.241 0.740 0.740
S 0.260 0.260 0.759
S 0.260 0.759 0.260
S 0.740 0.241 0.740
S 0.740 0.740 0.241
S 0.759 0.260 0.260
S 0.759 0.759 0.759

Calculated values
- Space-group type: R-3m


10.
Computed, not measured: an optimized crystal structure of Zr3AlRu4 at the GGA-PBE level of DFT.

a = 3.249 Å, b = 4.517 Å, c = 9.070 Å
α = 90.00°, β = 90.00°, γ = 90.00°
Fractional coordinates of all 8 atoms:
Zr 0.000 0.000 0.000
Zr 0.000 0.500 0.263
Zr 0.000 0.500 0.737
Al 0.000 0.000 0.500
Ru 0.500 0.000 0.257
Ru 0.500 0.000 0.743
Ru 0.500 0.500 0.000
Ru 0.500 0.500 0.500

Calculated values
- Energy of formation from the pure elements: -5.305 eV per formula unit
- Space-group type: Pmmm


11.
Computed, not measured: an optimized crystal structure of Tb4Dy5Sc4 at the GGA-PBE level of DFT.

a = 9.154 Å, b = 9.154 Å, c = 9.154 Å
α = 94.10°, β = 94.10°, γ = 148.96°
Fractional coordinates of all 13 atoms:
Tb 0.078 0.619 0.697
Tb 0.381 0.078 0.460
Tb 0.619 0.922 0.540
Tb 0.922 0.381 0.303
Dy 0.000 0.000 0.000
Dy 0.308 0.458 0.766
Dy 0.458 0.692 0.150
Dy 0.542 0.308 0.850
Dy 0.692 0.542 0.234
Sc 0.155 0.232 0.387
Sc 0.232 0.845 0.077
Sc 0.768 0.155 0.923
Sc 0.845 0.768 0.613

Calculated values
- Energy of formation from the pure elements: 0.562 eV per formula unit
- Space-group type: I4/m


12.
Computed, not measured: an optimized crystal structure of ScAs2RhSe at the GGA-PBE level of DFT.

a = 5.015 Å, b = 5.015 Å, c = 4.971 Å
α = 90.00°, β = 90.00°, γ = 90.00°
Fractional coordinates of all 5 atoms:
Sc 0.000 0.000 0.000
As 0.000 0.500 0.000
As 0.500 0.000 0.000
Rh 0.500 0.500 0.500
Se 0.000 0.000 0.500

Calculated values
- Space-group type: P4/mmm
- Relative energy among the computed polymorphs: 0.537 eV per atom


13.
Computed, not measured: an optimized crystal structure of OsAuBr2 at the GGA-PBE level of DFT.

a = 3.122 Å, b = 3.122 Å, c = 8.676 Å
α = 90.00°, β = 90.00°, γ = 90.00°
Fractional coordinates of all 4 atoms:
Os 0.000 0.000 0.000
Au 0.500 0.500 0.209
Br 0.000 0.000 0.466
Br 0.500 0.500 0.831

Calculated values
- Space-group type: P4mm
- Relative energy among the computed polymorphs: 0.385 eV per atom


14.
Computed, not measured: an optimized crystal structure of PuTh2TcC4 at the GGA-PBE level of DFT.

a = 6.348 Å, b = 6.348 Å, c = 12.726 Å
α = 90.00°, β = 90.00°, γ = 147.12°
Fractional coordinates of all 16 atoms:
Pu 0.100 0.900 0.750
Pu 0.900 0.100 0.250
Th 0.367 0.633 0.541
Th 0.367 0.633 0.959
Th 0.633 0.367 0.041
Th 0.633 0.367 0.459
Tc 0.166 0.834 0.250
Tc 0.834 0.166 0.750
C 0.000 0.000 0.000
C 0.000 0.000 0.500
C 0.269 0.731 0.137
C 0.269 0.731 0.363
C 0.418 0.582 0.750
C 0.582 0.418 0.250
C 0.731 0.269 0.637
C 0.731 0.269 0.863

Calculated values
- Energy of formation from the pure elements: 0.595 eV per formula unit
- Space-group type: Cmcm


15.
Computed, not measured: an optimized crystal structure of Ce2TmPt at the GGA-PBE level of DFT.

a = 3.765 Å, b = 3.765 Å, c = 7.416 Å
α = 90.00°, β = 90.00°, γ = 90.00°
Fractional coordinates of all 4 atoms:
Ce 0.000 0.000 0.199
Ce 0.000 0.000 0.801
Tm 0.500 0.500 0.500
Pt 0.500 0.500 0.000

Calculated values
- Energy of formation from the pure elements: -1.741 eV per formula unit
- Space-group type: P4/mmm
- Relative energy among the computed polymorphs: 0.000 eV per atom


16.
Computed, not measured: an optimized crystal structure of Y2SeO2 at the GGA-PBE level of DFT.

a = 3.851 Å, b = 3.851 Å, c = 12.187 Å
α = 90.00°, β = 90.00°, γ = 90.00°
Fractional coordinates of all 10 atoms:
Y 0.000 0.000 0.157
Y 0.000 0.000 0.843
Y 0.500 0.500 0.343
Y 0.500 0.500 0.657
Se 0.000 0.000 0.500
Se 0.500 0.500 0.000
O 0.000 0.500 0.250
O 0.000 0.500 0.750
O 0.500 0.000 0.250
O 0.500 0.000 0.750

Calculated values
- Space-group type: I4/mmm


17.
Computed, not measured: an optimized crystal structure of CdAgI at the GGA-PBE level of DFT.

a = 5.714 Å, b = 6.327 Å, c = 6.784 Å
α = 106.01°, β = 108.78°, γ = 104.70°
Fractional coordinates of all 6 atoms:
Cd 0.000 0.000 0.000
Cd 0.375 0.801 0.253
Ag 0.400 0.860 0.880
Ag 0.710 0.636 0.098
I 0.057 0.501 0.410
I 0.621 0.200 0.714

Calculated values
- Space-group type: P1
- Relative energy among the computed polymorphs: 0.057 eV per atom


18.
Computed, not measured: an optimized crystal structure of LaHoPt at the GGA-PBE level of DFT.

a = 4.819 Å, b = 4.819 Å, c = 7.136 Å
α = 89.79°, β = 89.68°, γ = 90.00°
Fractional coordinates of all 6 atoms:
La 0.250 0.250 0.115
La 0.750 0.750 0.885
Ho 0.251 0.750 0.500
Ho 0.749 0.250 0.500
Pt 0.247 0.248 0.718
Pt 0.753 0.752 0.282

Calculated values
- Energy of formation from the pure elements: -2.651 eV per formula unit
- Space-group type: P-1
- Relative energy among the computed polymorphs: 0.033 eV per atom


19.
Computed, not measured: an optimized crystal structure of AgHgPdPb at the GGA-PBE level of DFT.

a = 6.927 Å, b = 6.927 Å, c = 6.927 Å
α = 90.00°, β = 90.00°, γ = 90.00°
Fractional coordinates of all 16 atoms:
Ag 0.000 0.000 0.000
Ag 0.000 0.500 0.500
Ag 0.500 0.000 0.500
Ag 0.500 0.500 0.000
Hg 0.250 0.250 0.750
Hg 0.250 0.750 0.250
Hg 0.750 0.250 0.250
Hg 0.750 0.750 0.750
Pd 0.000 0.000 0.500
Pd 0.000 0.500 0.000
Pd 0.500 0.000 0.000
Pd 0.500 0.500 0.500
Pb 0.250 0.250 0.250
Pb 0.250 0.750 0.750
Pb 0.750 0.250 0.750
Pb 0.750 0.750 0.250

Calculated values
- Energy of formation from the pure elements: -0.007 eV per formula unit
- Space-group type: F-43m


20.
Computed, not measured: an optimized crystal structure of CuTc2 at the GGA-PBE level of DFT.

a = 5.070 Å, b = 5.070 Å, c = 5.070 Å
α = 60.00°, β = 60.00°, γ = 60.00°
Fractional coordinates of all 6 atoms:
Cu 0.125 0.125 0.125
Cu 0.875 0.875 0.875
Tc 0.000 0.500 0.500
Tc 0.500 0.000 0.500
Tc 0.500 0.500 0.000
Tc 0.500 0.500 0.500

Calculated values
- Energy of formation from the pure elements: 1.899 eV per formula unit
- Space-group type: Fd-3m
- Relative energy among the computed polymorphs: 0.544 eV per atom


Values of total energy, in order: -44.072 -89.130 -38.576 -43.493 -71.805 -19.998 -17.867 -22.127 -102.469 -71.795 -66.296 -23.747 -14.598 -151.676 -24.121 -83.013 -11.210 -36.393 -48.247 -45.859, all in eV for the cell shown.